(1)
Density functional theory data (PBE) for a relaxed structure of AgWSe2.

energy relative to the elements, uncorrected: 0.77 eV per atom
total energy: -19.68 eV per cell
SG: I-4m2, No. 119

The structure in CIF format:
```
data_AgWSe2
_chemical_formula_sum 'Ag1 W1 Se2'
_cell_length_a 5.658
_cell_length_b 5.658
_cell_length_c 5.658
_cell_angle_alpha 140.07
_cell_angle_beta 140.07
_cell_angle_gamma 57.74
_space_group_name_H-M_alt 'P 1'
_space_group_IT_number 1
loop_
_space_group_symop_operation_xyz
'x,y,z'
loop_
_atom_site_label
_atom_site_fract_x
_atom_site_fract_y
_atom_site_fract_z
Ag1 0.750 0.250 0.500
Se1 0.000 0.000 0.000
Se2 0.250 0.750 0.500
W1 0.500 0.500 0.000
```

***

(2)
Density functional theory data (PBE) for a relaxed structure of Ag2WSe.

energy relative to the elements, uncorrected: 0.77 eV per atom
total energy: -19.04 eV per cell
SG: I-4m2, No. 119

The structure in CIF format:
```
data_Ag2WSe
_chemical_formula_sum 'Ag2 W1 Se1'
_cell_length_a 4.981
_cell_length_b 4.981
_cell_length_c 4.981
_cell_angle_alpha 130.67
_cell_angle_beta 130.67
_cell_angle_gamma 72.34
_space_group_name_H-M_alt 'P 1'
_space_group_IT_number 1
loop_
_space_group_symop_operation_xyz
'x,y,z'
loop_
_atom_site_label
_atom_site_fract_x
_atom_site_fract_y
_atom_site_fract_z
Ag1 0.000 0.000 0.000
Ag2 0.250 0.750 0.500
Se1 0.500 0.500 0.000
W1 0.750 0.250 0.500
```

***

(3)
Density functional theory data (PBE) for a relaxed structure of Ag2WSe.

energy relative to the elements, uncorrected: 0.66 eV per atom
total energy: -19.52 eV per cell
SG: Pmmm, No. 47

The structure in CIF format:
```
data_Ag2WSe
_chemical_formula_sum 'Ag2 W1 Se1'
_cell_length_a 3.009
_cell_length_b 4.516
_cell_length_c 5.162
_cell_angle_alpha 90.00
_cell_angle_beta 90.00
_cell_angle_gamma 90.00
_space_group_name_H-M_alt 'P 1'
_space_group_IT_number 1
loop_
_space_group_symop_operation_xyz
'x,y,z'
loop_
_atom_site_label
_atom_site_fract_x
_atom_site_fract_y
_atom_site_fract_z
Ag1 0.000 0.000 0.000
Ag2 0.500 0.500 0.000
Se1 0.500 0.000 0.500
W1 0.000 0.500 0.500
```

***

(4)
Density functional theory data (PBE) for a relaxed structure of AgW2Se.

energy relative to the elements, uncorrected: 0.37 eV per atom
total energy: -30.77 eV per cell
SG: R3m, No. 160

The structure in CIF format:
```
data_AgW2Se
_chemical_formula_sum 'Ag1 W2 Se1'
_cell_length_a 9.495
_cell_length_b 9.495
_cell_length_c 9.495
_cell_angle_alpha 18.07
_cell_angle_beta 18.07
_cell_angle_gamma 18.07
_space_group_name_H-M_alt 'P 1'
_space_group_IT_number 1
loop_
_space_group_symop_operation_xyz
'x,y,z'
loop_
_atom_site_label
_atom_site_fract_x
_atom_site_fract_y
_atom_site_fract_z
Ag1 0.505 0.505 0.505
Se1 0.736 0.736 0.736
W1 0.004 0.004 0.004
W2 0.256 0.256 0.256
```

***

(5)
Density functional theory data (PBE) for a relaxed structure of AgW2Se.

energy relative to the elements, uncorrected: 0.88 eV per atom
total energy: -28.71 eV per cell
SG: Cmmm, No. 65

The structure in CIF format:
```
data_AgW2Se
_chemical_formula_sum 'Ag1 W2 Se1'
_cell_length_a 2.803
_cell_length_b 2.803
_cell_length_c 9.324
_cell_angle_alpha 90.00
_cell_angle_beta 90.00
_cell_angle_gamma 112.04
_space_group_name_H-M_alt 'P 1'
_space_group_IT_number 1
loop_
_space_group_symop_operation_xyz
'x,y,z'
loop_
_atom_site_label
_atom_site_fract_x
_atom_site_fract_y
_atom_site_fract_z
Ag1 0.500 0.500 0.250
Se1 0.500 0.500 0.750
W1 0.000 0.000 0.988
W2 0.000 0.000 0.512
```

***

(6)
Density functional theory data (PBE) for a relaxed structure of AgW2Se.

energy relative to the elements, uncorrected: 0.72 eV per atom
total energy: -29.35 eV per cell
SG: Cm, No. 8

The structure in CIF format:
```
data_AgW2Se
_chemical_formula_sum 'Ag1 W2 Se1'
_cell_length_a 4.871
_cell_length_b 4.871
_cell_length_c 5.158
_cell_angle_alpha 80.47
_cell_angle_beta 80.47
_cell_angle_gamma 35.11
_space_group_name_H-M_alt 'P 1'
_space_group_IT_number 1
loop_
_space_group_symop_operation_xyz
'x,y,z'
loop_
_atom_site_label
_atom_site_fract_x
_atom_site_fract_y
_atom_site_fract_z
Ag1 0.498 0.498 0.514
Se1 0.260 0.260 0.200
W1 0.992 0.992 0.005
W2 0.750 0.750 0.780
```

***

(7)
Density functional theory data (PBE) for a relaxed structure of AgWSe2.

energy relative to the elements, uncorrected: 0.09 eV per atom
total energy: -22.40 eV per cell
SG: Cm, No. 8

The structure in CIF format:
```
data_AgWSe2
_chemical_formula_sum 'Ag1 W1 Se2'
_cell_length_a 7.125
_cell_length_b 7.125
_cell_length_c 7.183
_cell_angle_alpha 45.83
_cell_angle_beta 45.83
_cell_angle_gamma 25.51
_space_group_name_H-M_alt 'P 1'
_space_group_IT_number 1
loop_
_space_group_symop_operation_xyz
'x,y,z'
loop_
_atom_site_label
_atom_site_fract_x
_atom_site_fract_y
_atom_site_fract_z
Ag1 0.207 0.207 0.216
Se1 0.975 0.975 0.934
Se2 0.833 0.833 0.695
W1 0.485 0.485 0.655
```

***

(8)
Density functional theory data (PBE) for a relaxed structure of AgW2Se.

energy relative to the elements, uncorrected: 0.43 eV per atom
total energy: -30.52 eV per cell
SG: Cmm2, No. 35

The structure in CIF format:
```
data_AgW2Se
_chemical_formula_sum 'Ag1 W2 Se1'
_cell_length_a 2.853
_cell_length_b 2.853
_cell_length_c 9.460
_cell_angle_alpha 90.00
_cell_angle_beta 90.00
_cell_angle_gamma 111.34
_space_group_name_H-M_alt 'P 1'
_space_group_IT_number 1
loop_
_space_group_symop_operation_xyz
'x,y,z'
loop_
_atom_site_label
_atom_site_fract_x
_atom_site_fract_y
_atom_site_fract_z
Ag1 0.000 0.000 0.482
Se1 0.500 0.500 0.779
W1 0.000 0.000 0.009
W2 0.500 0.500 0.230
```

***

(9)
Density functional theory data (PBE) for a relaxed structure of AgWSe2.

energy relative to the elements, uncorrected: 1.02 eV per atom
total energy: -18.71 eV per cell
SG: F-43m, No. 216

The structure in CIF format:
```
data_AgWSe2
_chemical_formula_sum 'Ag1 W1 Se2'
_cell_length_a 4.684
_cell_length_b 4.684
_cell_length_c 4.684
_cell_angle_alpha 60.00
_cell_angle_beta 60.00
_cell_angle_gamma 60.00
_space_group_name_H-M_alt 'P 1'
_space_group_IT_number 1
loop_
_space_group_symop_operation_xyz
'x,y,z'
loop_
_atom_site_label
_atom_site_fract_x
_atom_site_fract_y
_atom_site_fract_z
Ag1 0.500 0.500 0.500
Se1 0.000 0.000 0.000
Se2 0.750 0.750 0.750
W1 0.250 0.250 0.250
```

***

(10)
Density functional theory data (PBE) for a relaxed structure of Ag2WSe.

energy relative to the elements, uncorrected: 0.50 eV per atom
total energy: -20.15 eV per cell
SG: Cmmm, No. 65

The structure in CIF format:
```
data_Ag2WSe
_chemical_formula_sum 'Ag2 W1 Se1'
_cell_length_a 2.799
_cell_length_b 2.799
_cell_length_c 9.800
_cell_angle_alpha 90.00
_cell_angle_beta 90.00
_cell_angle_gamma 109.72
_space_group_name_H-M_alt 'P 1'
_space_group_IT_number 1
loop_
_space_group_symop_operation_xyz
'x,y,z'
loop_
_atom_site_label
_atom_site_fract_x
_atom_site_fract_y
_atom_site_fract_z
Ag1 0.000 0.000 0.990
Ag2 0.000 0.000 0.510
Se1 0.500 0.500 0.250
W1 0.500 0.500 0.750
```

***

(11)
Density functional theory data (PBE) for a relaxed structure of AgW2Se.

energy relative to the elements, uncorrected: 0.94 eV per atom
total energy: -28.48 eV per cell
SG: F-43m, No. 216

The structure in CIF format:
```
data_AgW2Se
_chemical_formula_sum 'Ag1 W2 Se1'
_cell_length_a 4.591
_cell_length_b 4.591
_cell_length_c 4.591
_cell_angle_alpha 60.00
_cell_angle_beta 60.00
_cell_angle_gamma 60.00
_space_group_name_H-M_alt 'P 1'
_space_group_IT_number 1
loop_
_space_group_symop_operation_xyz
'x,y,z'
loop_
_atom_site_label
_atom_site_fract_x
_atom_site_fract_y
_atom_site_fract_z
Ag1 0.500 0.500 0.500
Se1 0.750 0.750 0.750
W1 0.000 0.000 0.000
W2 0.250 0.250 0.250
```

***

(12)
Density functional theory data (PBE) for a relaxed structure of AgWSe2.

energy relative to the elements, uncorrected: 0.53 eV per atom
total energy: -20.65 eV per cell
SG: R-3m, No. 166

The structure in CIF format:
```
data_AgWSe2
_chemical_formula_sum 'Ag1 W1 Se2'
_cell_length_a 12.019
_cell_length_b 12.019
_cell_length_c 12.019
_cell_angle_alpha 13.60
_cell_angle_beta 13.60
_cell_angle_gamma 13.60
_space_group_name_H-M_alt 'P 1'
_space_group_IT_number 1
loop_
_space_group_symop_operation_xyz
'x,y,z'
loop_
_atom_site_label
_atom_site_fract_x
_atom_site_fract_y
_atom_site_fract_z
Se1 0.928 0.928 0.928
Se2 0.072 0.072 0.072
Ag1 0.500 0.500 0.500
W1 0.000 0.000 0.000
```

***

(13)
Density functional theory data (PBE) for a relaxed structure of Ag2WSe.

energy relative to the elements, uncorrected: 0.51 eV per atom
total energy: -20.10 eV per cell
SG: P4/mmm, No. 123

The structure in CIF format:
```
data_Ag2WSe
_chemical_formula_sum 'Ag2 W1 Se1'
_cell_length_a 2.783
_cell_length_b 2.783
_cell_length_c 9.496
_cell_angle_alpha 90.00
_cell_angle_beta 90.00
_cell_angle_gamma 90.00
_space_group_name_H-M_alt 'P 1'
_space_group_IT_number 1
loop_
_space_group_symop_operation_xyz
'x,y,z'
loop_
_atom_site_label
_atom_site_fract_x
_atom_site_fract_y
_atom_site_fract_z
Ag1 0.000 0.000 0.981
Ag2 0.000 0.000 0.519
Se1 0.500 0.500 0.250
W1 0.500 0.500 0.750
```

***

(14)
Density functional theory data (PBE) for a relaxed structure of AgW2Se.

energy relative to the elements, uncorrected: 0.93 eV per atom
total energy: -28.53 eV per cell
SG: I-4m2, No. 119

The structure in CIF format:
```
data_AgW2Se
_chemical_formula_sum 'Ag1 W2 Se1'
_cell_length_a 4.880
_cell_length_b 4.880
_cell_length_c 4.880
_cell_angle_alpha 129.57
_cell_angle_beta 129.57
_cell_angle_gamma 74.09
_space_group_name_H-M_alt 'P 1'
_space_group_IT_number 1
loop_
_space_group_symop_operation_xyz
'x,y,z'
loop_
_atom_site_label
_atom_site_fract_x
_atom_site_fract_y
_atom_site_fract_z
Ag1 0.500 0.500 0.000
Se1 0.750 0.250 0.500
W1 0.000 0.000 0.000
W2 0.250 0.750 0.500
```

***

(15)
Density functional theory data (PBE) for a relaxed structure of AgW2Se.

energy relative to the elements, uncorrected: 0.71 eV per atom
total energy: -29.38 eV per cell
SG: Immm, No. 71

The structure in CIF format:
```
data_AgW2Se
_chemical_formula_sum 'Ag1 W2 Se1'
_cell_length_a 5.554
_cell_length_b 5.554
_cell_length_c 5.554
_cell_angle_alpha 148.03
_cell_angle_beta 131.01
_cell_angle_gamma 59.70
_space_group_name_H-M_alt 'P 1'
_space_group_IT_number 1
loop_
_space_group_symop_operation_xyz
'x,y,z'
loop_
_atom_site_label
_atom_site_fract_x
_atom_site_fract_y
_atom_site_fract_z
Ag1 0.750 0.250 0.500
Se1 0.250 0.750 0.500
W1 0.033 0.033 0.000
W2 0.467 0.467 0.000
```